Entry from Alexandria: an optimized crystal structure of Mg3Se5 (PBE-GGA).

Geometry as extended XYZ:
```
16
Lattice="7.844 0.000 0.000 3.549 7.205 0.000 3.397 -0.791 7.351" Properties=species:S:1:pos:R:3 pbc="T T T"
Mg 0.000 0.000 0.000
Mg 2.782 4.037 0.998
Mg 4.742 2.238 4.201
Mg 6.721 6.093 1.208
Mg 8.619 2.723 4.826
Mg 11.587 5.845 4.935
Se 6.142 6.394 3.911
Se 2.367 1.465 0.429
Se 8.274 4.177 7.080
Se 6.714 3.827 3.108
Se 6.694 0.825 5.518
Se 6.046 1.790 1.866
Se 8.995 5.854 0.003
Se 8.004 0.533 2.662
Se 10.645 3.911 3.569
Se 10.668 1.017 5.551
```

The uncorrected formation energy is -0.813 eV per atom. As for the energy above the most stable polymorph in this dataset: 0 meV per atom.

=====

Entry from Alexandria: an optimized crystal structure of In12SnHg6 (PBE-GGA).

Geometry as extended XYZ:
```
19
Lattice="7.036 4.062 3.063 -7.036 4.062 3.063 0.000 -8.124 3.063" Properties=species:S:1:pos:R:3 pbc="T T T"
In -1.882 -4.864 3.063
In -5.153 0.802 3.063
In -2.543 -1.468 4.006
In 1.882 -4.864 3.063
In -3.271 4.062 3.063
In 0.000 -2.937 5.183
In -2.543 1.468 5.183
In 2.543 -1.468 4.006
In 0.000 2.937 4.006
In 5.153 0.802 3.063
In 3.271 4.062 3.063
In 2.543 1.468 5.183
Sn 0.000 0.000 0.000
Hg 0.000 -2.095 2.225
Hg -1.814 1.047 2.225
Hg 1.814 1.047 2.225
Hg -1.814 -1.047 6.964
Hg 1.814 -1.047 6.964
Hg 0.000 2.095 6.964
```

The formation energy is 0.035 eV per atom. As for the energy above the most stable polymorph in this dataset: 0 meV per atom.

=====

Entry from Alexandria: an optimized crystal structure of Gd2FeCl (PBE-GGA).

Geometry as extended XYZ:
```
12
Lattice="3.777 0.000 0.000 -1.888 3.271 0.000 0.000 0.000 23.053" Properties=species:S:1:pos:R:3 pbc="T T T"
Gd 0.000 0.000 5.471
Gd 0.000 0.000 17.583
Gd 0.000 2.180 9.898
Gd 0.000 2.180 20.840
Gd 1.888 1.090 2.214
Gd 1.888 1.090 13.155
Fe 0.000 0.000 11.527
Fe 0.000 2.180 3.842
Fe 1.888 1.090 19.211
Cl 0.000 0.000 0.000
Cl 0.000 2.180 15.369
Cl 1.888 1.090 7.684
```

The uncorrected formation energy is -0.646 eV per atom. As for the energy above the most stable polymorph in this dataset: 0 meV per atom.

=====

Entry from Alexandria: an optimized crystal structure of Fe2SnMoS (PBE-GGA).

Geometry as extended XYZ:
```
5
Lattice="4.638 0.000 0.000 0.000 4.638 0.000 0.000 0.000 5.059" Properties=species:S:1:pos:R:3 pbc="T T T"
Fe 0.000 2.319 0.000
Fe 2.319 0.000 0.000
Sn 0.000 0.000 0.000
Mo 2.319 2.319 2.530
S 0.000 0.000 2.530
```

The uncorrected formation energy is 1.958 eV per atom.

=====

Entry from Alexandria: an optimized crystal structure of TaPtIO2 (PBE-GGA).

Geometry as extended XYZ:
```
5
Lattice="3.885 0.000 0.000 0.000 3.885 0.000 0.000 0.000 6.254" Properties=species:S:1:pos:R:3 pbc="T T T"
Ta 0.000 0.000 0.000
Pt 1.943 1.943 3.127
I 0.000 0.000 3.127
O 0.000 1.943 0.000
O 1.943 0.000 0.000
```

The uncorrected formation energy is -1.117 eV per atom. As for the energy above the most stable polymorph in this dataset: 0 meV per atom.

=====

Entry from Alexandria: an optimized crystal structure of MgZn4Co (PBE-GGA).

Geometry as extended XYZ:
```
12
Lattice="7.900 0.000 0.000 0.000 3.748 0.000 0.000 0.000 6.431" Properties=species:S:1:pos:R:3 pbc="T T T"
Mg 1.975 0.000 0.703
Mg 5.925 0.000 5.728
Zn 0.000 0.000 3.215
Zn 0.506 1.874 5.241
Zn 1.975 1.874 2.866
Zn 3.444 1.874 5.241
Zn 3.950 0.000 3.215
Zn 4.456 1.874 1.190
Zn 5.925 1.874 3.565
Zn 7.394 1.874 1.190
Co 1.975 0.000 4.531
Co 5.925 0.000 1.900
```

The formation energy is 0.000 eV per atom. As for the energy above the most stable polymorph in this dataset: 0 meV per atom.

=====

Entry from Alexandria: an optimized crystal structure of BeIn3Fe (PBE-GGA).

Geometry as extended XYZ:
```
5
Lattice="4.957 0.000 0.000 0.000 4.957 0.000 0.000 0.000 4.957" Properties=species:S:1:pos:R:3 pbc="T T T"
Be 0.000 0.000 0.000
In 0.000 2.478 2.478
In 2.478 0.000 2.478
In 2.478 2.478 0.000
Fe 2.478 2.478 2.478
```

The formation energy is 0.708 eV per atom. As for the energy above the most stable polymorph in this dataset: 0 meV per atom.

=====

Entry from Alexandria: an optimized crystal structure of ZrRh2Se (PBE-GGA).

Geometry as extended XYZ:
```
8
Lattice="9.782 0.000 0.000 0.000 3.405 0.000 -2.025 0.000 3.998" Properties=species:S:1:pos:R:3 pbc="T T T"
Zr 0.000 0.000 0.000
Zr 4.891 1.702 0.000
Rh 0.758 0.000 2.892
Rh 3.553 0.000 1.813
Rh 5.649 1.702 2.892
Rh 8.444 1.702 1.813
Se 1.907 1.702 1.131
Se 6.798 0.000 1.131
```

The uncorrected formation energy is -0.528 eV per atom.

=====

Entry from Alexandria: an optimized crystal structure of LiAl2InAg (PBE-GGA).

Geometry as extended XYZ:
```
5
Lattice="4.913 0.000 0.000 0.000 4.913 0.000 0.000 0.000 5.455" Properties=species:S:1:pos:R:3 pbc="T T T"
Li 0.000 0.000 0.000
Al 0.000 2.456 2.727
Al 2.456 0.000 2.727
In 2.456 2.456 0.000
Ag 2.456 2.456 2.727
```

The formation energy is 0.381 eV per atom.

=====

Entry from Alexandria: an optimized crystal structure of RbTl2Se2 (PBE-GGA).

Geometry as extended XYZ:
```
10
Lattice="8.862 0.000 0.000 0.000 8.862 0.000 0.000 0.000 4.068" Properties=species:S:1:pos:R:3 pbc="T T T"
Rb 0.000 0.000 0.000
Rb 4.431 4.431 0.000
Tl 1.204 3.227 2.034
Tl 3.227 7.658 2.034
Tl 5.635 1.204 2.034
Tl 7.658 5.635 2.034
Se 1.360 5.792 0.000
Se 3.071 1.360 0.000
Se 5.792 7.502 0.000
Se 7.502 3.071 0.000
```

The uncorrected formation energy is -0.446 eV per atom. As for the energy above the most stable polymorph in this dataset: 119 meV per atom.

=====

Entry from Alexandria: an optimized crystal structure of RePt2Br (PBE-GGA).

Geometry as extended XYZ:
```
8
Lattice="8.832 0.000 0.000 0.000 2.891 0.000 -1.283 0.000 6.582" Properties=species:S:1:pos:R:3 pbc="T T T"
Re 0.000 0.000 0.000
Re 4.416 1.445 0.000
Pt 1.992 1.445 0.839
Pt 3.956 0.000 2.193
Pt 6.407 0.000 0.839
Pt 8.372 1.445 2.193
Br 2.710 0.000 4.503
Br 7.126 1.445 4.503
```

The uncorrected formation energy is 0.352 eV per atom. As for the energy above the most stable polymorph in this dataset: 126 meV per atom.

=====

Entry from Alexandria: an optimized crystal structure of PaCF (PBE-GGA).

Geometry as extended XYZ:
```
3
Lattice="3.697 0.000 0.000 -1.848 3.201 0.000 0.000 0.000 5.150" Properties=species:S:1:pos:R:3 pbc="T T T"
Pa 0.000 0.000 0.000
C 1.848 1.067 4.425
F 0.000 2.134 1.235
```

The uncorrected formation energy is -1.339 eV per atom. As for the energy above the most stable polymorph in this dataset: 465 meV per atom.

=====

Calculated values (μB per formula unit) of magnetic moment for the records, taken in order: 0.0, 0.0, 13.5, 5.6, 0.0, 0.0, 0.0, 0.0, 0.0, 0.0, 0.0, 0.0.